<P>
Here is a relaxed TcGeSe2Br crystal from Alexandria. Energies are from PBE.

## Properties
Magnetization = 4.8 Bohr magnetons per cell
DOS(E_F) = 1.851 states/eV/cell

CIF file:
```
data_TcGeSe2Br
_chemical_formula_sum 'Tc1 Ge1 Se2 Br1'
_cell_length_a 5.057
_cell_length_b 5.057
_cell_length_c 5.124
_cell_angle_alpha 90.00
_cell_angle_beta 90.00
_cell_angle_gamma 90.00
_symmetry_space_group_name_H-M 'P 1'
_symmetry_Int_Tables_number 1
loop_
_symmetry_equiv_pos_as_xyz
'x,y,z'
loop_
_atom_site_label
_atom_site_fract_x
_atom_site_fract_y
_atom_site_fract_z
Tc1 0.000 0.000 0.000
Ge1 0.500 0.500 0.500
Se1 0.000 0.500 0.500
Se2 0.500 0.000 0.500
Br1 0.500 0.500 0.000
```

<Q>
Here is a relaxed TcGeSe2Br crystal from Alexandria. Energies are from PBE.

## Properties
Magnetization = 0.6 Bohr magnetons per cell
DOS(E_F) = 5.272 states/eV/cell

CIF file:
```
data_TcGeSe2Br
_chemical_formula_sum 'Tc1 Ge1 Se2 Br1'
_cell_length_a 4.833
_cell_length_b 4.833
_cell_length_c 5.257
_cell_angle_alpha 90.00
_cell_angle_beta 90.00
_cell_angle_gamma 90.00
_symmetry_space_group_name_H-M 'P 1'
_symmetry_Int_Tables_number 1
loop_
_symmetry_equiv_pos_as_xyz
'x,y,z'
loop_
_atom_site_label
_atom_site_fract_x
_atom_site_fract_y
_atom_site_fract_z
Tc1 0.000 0.000 0.000
Ge1 0.500 0.500 0.500
Se1 0.000 0.500 0.000
Se2 0.500 0.000 0.000
Br1 0.000 0.000 0.500
```

<Q> is favored, and the nearest alternative lies 39.8 kJ/mol of atoms above it.

<P>
Here is a relaxed GeTeSe2Br crystal from Alexandria. Energies are from PBE.

## Properties
Magnetization = 0.0 Bohr magnetons per cell
DOS(E_F) = 3.562 states/eV/cell

CIF file:
```
data_GeTeSe2Br
_chemical_formula_sum 'Ge1 Te1 Se2 Br1'
_cell_length_a 5.151
_cell_length_b 5.151
_cell_length_c 5.017
_cell_angle_alpha 90.00
_cell_angle_beta 90.00
_cell_angle_gamma 90.00
_symmetry_space_group_name_H-M 'P 1'
_symmetry_Int_Tables_number 1
loop_
_symmetry_equiv_pos_as_xyz
'x,y,z'
loop_
_atom_site_label
_atom_site_fract_x
_atom_site_fract_y
_atom_site_fract_z
Ge1 0.000 0.000 0.000
Te1 0.500 0.500 0.500
Se1 0.000 0.500 0.000
Se2 0.500 0.000 0.000
Br1 0.000 0.000 0.500
```

<Q>
Here is a relaxed GeTeSe2Br crystal from Alexandria. Energies are from PBE.

## Properties
Magnetization = 0.1 Bohr magnetons per cell
DOS(E_F) = 2.184 states/eV/cell

CIF file:
```
data_GeTeSe2Br
_chemical_formula_sum 'Ge1 Te1 Se2 Br1'
_cell_length_a 5.452
_cell_length_b 5.452
_cell_length_c 5.338
_cell_angle_alpha 90.00
_cell_angle_beta 90.00
_cell_angle_gamma 90.00
_symmetry_space_group_name_H-M 'P 1'
_symmetry_Int_Tables_number 1
loop_
_symmetry_equiv_pos_as_xyz
'x,y,z'
loop_
_atom_site_label
_atom_site_fract_x
_atom_site_fract_y
_atom_site_fract_z
Ge1 0.000 0.000 0.000
Te1 0.500 0.500 0.500
Se1 0.000 0.500 0.500
Se2 0.500 0.000 0.500
Br1 0.500 0.500 0.000
```

<P> is favored, and the nearest alternative lies 15.2 kJ/mol of atoms above it.

<P>
Here is a relaxed TiGeSeBr2 crystal from Alexandria. Energies are from PBE.

## Properties
Magnetization = 2.4 Bohr magnetons per cell
DOS(E_F) = 5.424 states/eV/cell

CIF file:
```
data_TiGeSeBr2
_chemical_formula_sum 'Ti1 Ge1 Se1 Br2'
_cell_length_a 5.243
_cell_length_b 5.243
_cell_length_c 5.227
_cell_angle_alpha 90.00
_cell_angle_beta 90.00
_cell_angle_gamma 90.00
_symmetry_space_group_name_H-M 'P 1'
_symmetry_Int_Tables_number 1
loop_
_symmetry_equiv_pos_as_xyz
'x,y,z'
loop_
_atom_site_label
_atom_site_fract_x
_atom_site_fract_y
_atom_site_fract_z
Ti1 0.000 0.000 0.000
Ge1 0.500 0.500 0.500
Se1 0.500 0.500 0.000
Br1 0.000 0.500 0.500
Br2 0.500 0.000 0.500
```

<Q>
Here is a relaxed TiGeSeBr2 crystal from Alexandria. Energies are from PBE.

## Properties
Magnetization = 0.4 Bohr magnetons per cell
DOS(E_F) = 4.491 states/eV/cell

CIF file:
```
data_TiGeSeBr2
_chemical_formula_sum 'Ti1 Ge1 Se1 Br2'
_cell_length_a 5.067
_cell_length_b 5.067
_cell_length_c 5.062
_cell_angle_alpha 90.00
_cell_angle_beta 90.00
_cell_angle_gamma 90.00
_symmetry_space_group_name_H-M 'P 1'
_symmetry_Int_Tables_number 1
loop_
_symmetry_equiv_pos_as_xyz
'x,y,z'
loop_
_atom_site_label
_atom_site_fract_x
_atom_site_fract_y
_atom_site_fract_z
Ti1 0.000 0.000 0.000
Ge1 0.500 0.500 0.500
Se1 0.000 0.000 0.500
Br1 0.000 0.500 0.000
Br2 0.500 0.000 0.000
```

<Q> is favored, and the nearest alternative lies 41.9 kJ/mol of atoms above it.

<P>
Here is a relaxed TlGeSe2Br crystal from Alexandria. Energies are from PBE.

## Properties
Magnetization = 0.0 Bohr magnetons per cell
DOS(E_F) = 2.046 states/eV/cell

CIF file:
```
data_TlGeSe2Br
_chemical_formula_sum 'Tl1 Ge1 Se2 Br1'
_cell_length_a 5.406
_cell_length_b 5.406
_cell_length_c 5.470
_cell_angle_alpha 90.00
_cell_angle_beta 90.00
_cell_angle_gamma 90.00
_symmetry_space_group_name_H-M 'P 1'
_symmetry_Int_Tables_number 1
loop_
_symmetry_equiv_pos_as_xyz
'x,y,z'
loop_
_atom_site_label
_atom_site_fract_x
_atom_site_fract_y
_atom_site_fract_z
Tl1 0.000 0.000 0.000
Ge1 0.500 0.500 0.500
Se1 0.000 0.500 0.000
Se2 0.500 0.000 0.000
Br1 0.000 0.000 0.500
```

<Q>
Here is a relaxed TlGeSe2Br crystal from Alexandria. Energies are from PBE.

## Properties
Magnetization = 0.0 Bohr magnetons per cell
DOS(E_F) = 1.540 states/eV/cell

CIF file:
```
data_TlGeSe2Br
_chemical_formula_sum 'Tl1 Ge1 Se2 Br1'
_cell_length_a 5.034
_cell_length_b 5.034
_cell_length_c 5.659
_cell_angle_alpha 90.00
_cell_angle_beta 90.00
_cell_angle_gamma 90.00
_symmetry_space_group_name_H-M 'P 1'
_symmetry_Int_Tables_number 1
loop_
_symmetry_equiv_pos_as_xyz
'x,y,z'
loop_
_atom_site_label
_atom_site_fract_x
_atom_site_fract_y
_atom_site_fract_z
Tl1 0.000 0.000 0.000
Ge1 0.500 0.500 0.500
Se1 0.000 0.500 0.500
Se2 0.500 0.000 0.500
Br1 0.500 0.500 0.000
```

<Q> is favored, and the nearest alternative lies 60.5 kJ/mol of atoms above it.

<P>
Here is a relaxed VGeSeBr2 crystal from Alexandria. Energies are from PBE.

## Properties
Magnetization = 0.2 Bohr magnetons per cell
DOS(E_F) = 9.533 states/eV/cell

CIF file:
```
data_VGeSeBr2
_chemical_formula_sum 'V1 Ge1 Se1 Br2'
_cell_length_a 5.251
_cell_length_b 5.251
_cell_length_c 5.146
_cell_angle_alpha 90.00
_cell_angle_beta 90.00
_cell_angle_gamma 90.00
_symmetry_space_group_name_H-M 'P 1'
_symmetry_Int_Tables_number 1
loop_
_symmetry_equiv_pos_as_xyz
'x,y,z'
loop_
_atom_site_label
_atom_site_fract_x
_atom_site_fract_y
_atom_site_fract_z
V1 0.000 0.000 0.000
Ge1 0.500 0.500 0.500
Se1 0.500 0.500 0.000
Br1 0.000 0.500 0.500
Br2 0.500 0.000 0.500
```

<Q>
Here is a relaxed VGeSeBr2 crystal from Alexandria. Energies are from PBE.

## Properties
Magnetization = 3.0 Bohr magnetons per cell
DOS(E_F) = 2.447 states/eV/cell

CIF file:
```
data_VGeSeBr2
_chemical_formula_sum 'V1 Ge1 Se1 Br2'
_cell_length_a 5.045
_cell_length_b 5.045
_cell_length_c 5.014
_cell_angle_alpha 90.00
_cell_angle_beta 90.00
_cell_angle_gamma 90.00
_symmetry_space_group_name_H-M 'P 1'
_symmetry_Int_Tables_number 1
loop_
_symmetry_equiv_pos_as_xyz
'x,y,z'
loop_
_atom_site_label
_atom_site_fract_x
_atom_site_fract_y
_atom_site_fract_z
V1 0.000 0.000 0.000
Ge1 0.500 0.500 0.500
Se1 0.000 0.000 0.500
Br1 0.000 0.500 0.000
Br2 0.500 0.000 0.000
```

<Q> is favored, and the nearest alternative lies 66.7 kJ/mol of atoms above it.

<P>
Here is a relaxed VGeSe2Br crystal from Alexandria. Energies are from PBE.

## Properties
Magnetization = 0.1 Bohr magnetons per cell
DOS(E_F) = 8.254 states/eV/cell

CIF file:
```
data_VGeSe2Br
_chemical_formula_sum 'V1 Ge1 Se2 Br1'
_cell_length_a 5.025
_cell_length_b 5.025
_cell_length_c 5.073
_cell_angle_alpha 90.00
_cell_angle_beta 90.00
_cell_angle_gamma 90.00
_symmetry_space_group_name_H-M 'P 1'
_symmetry_Int_Tables_number 1
loop_
_symmetry_equiv_pos_as_xyz
'x,y,z'
loop_
_atom_site_label
_atom_site_fract_x
_atom_site_fract_y
_atom_site_fract_z
V1 0.000 0.000 0.000
Ge1 0.500 0.500 0.500
Se1 0.000 0.500 0.500
Se2 0.500 0.000 0.500
Br1 0.500 0.500 0.000
```

<Q>
Here is a relaxed VGeSe2Br crystal from Alexandria. Energies are from PBE.

## Properties
Magnetization = 2.1 Bohr magnetons per cell
DOS(E_F) = 3.996 states/eV/cell

CIF file:
```
data_VGeSe2Br
_chemical_formula_sum 'V1 Ge1 Se2 Br1'
_cell_length_a 4.913
_cell_length_b 4.913
_cell_length_c 5.019
_cell_angle_alpha 90.00
_cell_angle_beta 90.00
_cell_angle_gamma 90.00
_symmetry_space_group_name_H-M 'P 1'
_symmetry_Int_Tables_number 1
loop_
_symmetry_equiv_pos_as_xyz
'x,y,z'
loop_
_atom_site_label
_atom_site_fract_x
_atom_site_fract_y
_atom_site_fract_z
V1 0.000 0.000 0.000
Ge1 0.500 0.500 0.500
Se1 0.000 0.500 0.000
Se2 0.500 0.000 0.000
Br1 0.000 0.000 0.500
```

<Q> is favored, and the nearest alternative lies 67.3 kJ/mol of atoms above it.